DFT (PBE) results for an optimized crystal structure of BeHg2Mo.

a b c (Å): 9.9018 2.8768 5.1017
angles (deg): 90.00 108.69 90.00
Space group Cm (No. 8)
Unique sites:
Be (0.0000, 0.0000, 0.0000) x2
Hg (0.2795, 0.0000, 0.6926) x2
Hg (0.4975, 0.0000, 0.4253) x2
Mo (0.2199, 0.5000, 0.1386) x2

Properties
The calculation puts the spin magnetization at 0.000 μB per atom. The formation enthalpy at 0 K comes out at 0.588 eV/atom. The calculation puts the density of states at the Fermi level at 0.44 states/eV/atom.